[1]
DFT (PBE) results for a relaxed structure of AcP2Pt.

Output
Energy above the lowest structure with this stoichiometry: 0.87 eV/f.u.
Calculated density: 9.58 g/cm3
Energy of formation: -0.348 eV per atom

Cell lengths 4.503, 4.503, 4.138 Å; angles 90.00, 90.00, 90.00 degrees
Fractional positions:
Ac 0.000 0.000 0.000
P 0.000 0.500 0.500
P 0.500 0.000 0.500
Pt 0.500 0.500 0.000


[2]
DFT (PBE) results for a relaxed structure of Ac2PPt.

Output
Energy above the lowest structure with this stoichiometry: 0.00 eV/f.u.
Calculated density: 9.25 g/cm3
Energy of formation: -1.303 eV per atom

Cell lengths 4.418, 4.418, 21.661 Å; angles 90.00, 90.00, 120.00 degrees
Fractional positions:
Ac 0.000 0.000 0.248
Ac 0.000 0.000 0.752
Ac 0.333 0.667 0.417
Ac 0.333 0.667 0.918
Ac 0.667 0.333 0.082
Ac 0.667 0.333 0.583
P 0.000 0.000 0.500
P 0.333 0.667 0.668
P 0.667 0.333 0.332
Pt 0.000 0.000 0.000
Pt 0.333 0.667 0.164
Pt 0.667 0.333 0.836


[3]
DFT (PBE) results for a relaxed structure of AcP2Pt5.

Output
Calculated density: 14.66 g/cm3
Energy of formation: -0.733 eV per atom

Cell lengths 6.309, 6.309, 6.309 Å; angles 140.32, 113.09, 80.69 degrees
Fractional positions:
Ac 0.000 0.000 0.000
P 0.257 0.757 0.500
P 0.743 0.243 0.500
Pt 0.144 0.349 0.796
Pt 0.447 0.651 0.796
Pt 0.500 0.000 0.500
Pt 0.553 0.349 0.204
Pt 0.856 0.651 0.204


[4]
DFT (PBE) results for a relaxed structure of AcPPt3.

Output
Energy above the lowest structure with this stoichiometry: 0.90 eV/f.u.
Calculated density: 13.38 g/cm3
Energy of formation: -0.796 eV per atom

Cell lengths 4.713, 4.713, 4.713 Å; angles 90.00, 90.00, 90.00 degrees
Fractional positions:
Ac 0.000 0.000 0.000
P 0.500 0.500 0.500
Pt 0.000 0.500 0.500
Pt 0.500 0.000 0.500
Pt 0.500 0.500 0.000


So what do the calculations give for spin magnetization? Going down the list: 0.00, 0.00, 0.00, 0.00 μB/f.u..